[1]
VASP calculation (GGA-PBE) on ZnW2Au after structural relaxation.

POSCAR file:
```
ZnW2Au
1.0
5.110 -0.019 -0.108
2.269 4.579 0.108
-3.606 -2.416 2.700
Au W Zn
1 2 1
direct
0.250 0.750 0.500
0.999 0.999 0.000
0.501 0.501 0.000
0.750 0.250 0.500
```

Output
As for the spin magnetization: 0.00 μB/f.u. The formation energy is 28 kJ/mol of atoms. As for the total DFT energy (no corrections): -7.33 eV per atom. As for the density of states at the Fermi level: 0.36 states/eV per atom.

***

[2]
VASP calculation (GGA-PBE) on ZnW2Au after structural relaxation.

POSCAR file:
```
ZnW2Au
1.0
-2.480 0.942 0.606
-1.120 -2.045 -1.403
-0.097 -4.835 7.122
Au W Zn
1 2 1
direct
0.500 0.500 0.750
0.000 0.000 0.009
0.000 0.000 0.491
0.500 0.500 0.250
```

Output
As for the spin magnetization: 0.00 μB/f.u. The formation energy is 36 kJ/mol of atoms. As for the total DFT energy (no corrections): -7.24 eV per atom. As for the density of states at the Fermi level: 0.40 states/eV per atom.

***

[3]
VASP calculation (GGA-PBE) on Zn2WAu after structural relaxation.

POSCAR file:
```
Zn2WAu
1.0
5.389 0.115 0.508
4.670 2.692 0.508
1.675 0.467 4.700
Au W Zn
1 1 2
direct
0.503 0.503 0.593
0.251 0.251 0.148
0.995 0.995 0.101
0.751 0.751 0.658
```

Output
As for the spin magnetization: 0.00 μB/f.u. The formation energy is 19 kJ/mol of atoms. As for the total DFT energy (no corrections): -4.50 eV per atom. The value obtained for the offset from the most stable computed form is 0.47 eV per formula unit. As for the density of states at the Fermi level: 0.74 states/eV per atom.

***

[4]
VASP calculation (GGA-PBE) on Zn2WAu2 after structural relaxation.

POSCAR file:
```
Zn2WAu2
1.0
-2.746 1.523 2.174
-2.339 -2.868 -0.945
-0.619 -3.752 5.202
Zn Au W
2 2 1
direct
0.404 0.404 0.193
0.596 0.596 0.807
0.750 0.250 0.500
0.250 0.750 0.500
0.000 0.000 0.000
```

Output
As for the spin magnetization: 0.00 μB/f.u. The formation energy is 60 kJ/mol of atoms. As for the total DFT energy (no corrections): -3.79 eV per atom. The value obtained for the offset from the most stable computed form is 1.67 eV per formula unit. As for the density of states at the Fermi level: 0.44 states/eV per atom.

***

[5]
VASP calculation (GGA-PBE) on Zn2WAu after structural relaxation.

POSCAR file:
```
Zn2WAu
1.0
4.746 -0.015 -0.016
3.939 2.647 -0.016
0.904 0.274 5.052
Au W Zn
1 1 2
direct
0.750 0.750 0.750
0.250 0.250 0.250
0.000 0.000 0.018
0.500 0.500 0.482
```

Output
As for the spin magnetization: 0.00 μB/f.u. The formation energy is 26 kJ/mol of atoms. As for the total DFT energy (no corrections): -4.42 eV per atom. The value obtained for the offset from the most stable computed form is 0.77 eV per formula unit. As for the density of states at the Fermi level: 0.82 states/eV per atom.

***

[6]
VASP calculation (GGA-PBE) on ZnW2Au after structural relaxation.

POSCAR file:
```
ZnW2Au
1.0
-1.707 3.206 -2.358
-2.216 0.009 1.616
0.522 3.619 4.542
Au W Zn
1 2 1
direct
0.500 0.750 0.750
0.000 0.023 0.012
0.000 0.477 0.488
0.500 0.250 0.250
```

Output
As for the spin magnetization: 0.00 μB/f.u. The formation energy is 32 kJ/mol of atoms. As for the total DFT energy (no corrections): -7.28 eV per atom. As for the density of states at the Fermi level: 0.34 states/eV per atom.

***

[7]
VASP calculation (GGA-PBE) on ZnW2Au after structural relaxation.

POSCAR file:
```
ZnW2Au
1.0
-4.453 -1.245 2.167
-2.334 -3.877 -2.366
4.355 1.198 2.381
Au W Zn
1 2 1
direct
0.258 0.758 0.500
0.987 0.987 0.000
0.757 0.257 0.500
0.497 0.497 0.000
```

Output
As for the spin magnetization: 0.00 μB/f.u. The formation energy is 36 kJ/mol of atoms. As for the total DFT energy (no corrections): -7.24 eV per atom. As for the density of states at the Fermi level: 0.47 states/eV per atom.

***

[8]
VASP calculation (GGA-PBE) on ZnW2Au after structural relaxation.

POSCAR file:
```
ZnW2Au
1.0
4.331 0.000 0.000
0.000 2.769 0.002
0.000 0.846 5.395
Au W Zn
1 2 1
direct
0.500 0.578 0.742
0.000 0.019 0.011
0.500 0.242 0.257
0.000 0.661 0.490
```

Output
As for the spin magnetization: 0.00 μB/f.u. The formation energy is 24 kJ/mol of atoms. As for the total DFT energy (no corrections): -7.37 eV per atom. As for the density of states at the Fermi level: 0.44 states/eV per atom.

***

[9]
VASP calculation (GGA-PBE) on Zn2WAu after structural relaxation.

POSCAR file:
```
Zn2WAu
1.0
-0.455 -0.185 2.739
-2.191 -2.919 -0.562
4.785 -3.698 0.546
Au W Zn
1 1 2
direct
0.500 0.500 0.250
0.500 0.500 0.750
0.000 0.000 0.994
0.000 0.000 0.506
```

Output
As for the spin magnetization: 0.00 μB/f.u. The formation energy is 22 kJ/mol of atoms. As for the total DFT energy (no corrections): -4.47 eV per atom. The value obtained for the offset from the most stable computed form is 0.60 eV per formula unit. As for the density of states at the Fermi level: 0.70 states/eV per atom.

***

[10]
VASP calculation (GGA-PBE) on ZnW2Au after structural relaxation.

POSCAR file:
```
ZnW2Au
1.0
-1.194 4.221 0.463
-1.074 0.096 -3.646
-3.500 -1.100 1.002
Au W Zn
1 2 1
direct
0.500 0.000 0.500
0.000 0.000 0.000
0.000 0.500 0.500
0.500 0.500 0.000
```

Output
As for the spin magnetization: 0.00 μB/f.u. The formation energy is 30 kJ/mol of atoms. As for the total DFT energy (no corrections): -7.31 eV per atom. As for the density of states at the Fermi level: 0.20 states/eV per atom.

***

[11]
VASP calculation (GGA-PBE) on Zn3WAu after structural relaxation.

POSCAR file:
```
Zn3WAu
1.0
4.797 0.000 0.000
0.000 4.797 0.000
0.000 0.000 4.797
Zn Au W
3 1 1
direct
0.000 0.500 0.000
0.000 0.000 0.500
0.500 0.000 0.000
0.000 0.000 0.000
0.500 0.500 0.500
```

Output
As for the spin magnetization: 4.04 μB/f.u. The formation energy is 117 kJ/mol of atoms. As for the total DFT energy (no corrections): -2.79 eV per atom. The value obtained for the offset from the most stable computed form is 0.00 eV per formula unit. As for the density of states at the Fermi level: 0.46 states/eV per atom.

***

[12]
VASP calculation (GGA-PBE) on ZnW2Au after structural relaxation.

POSCAR file:
```
ZnW2Au
1.0
3.302 0.000 0.000
0.000 3.302 0.000
0.000 0.000 5.988
Au W Zn
1 2 1
direct
0.500 0.500 0.728
0.000 0.000 0.031
0.500 0.500 0.239
0.000 0.000 0.502
```

Output
As for the spin magnetization: 0.00 μB/f.u. The formation energy is 25 kJ/mol of atoms. As for the total DFT energy (no corrections): -7.36 eV per atom. As for the density of states at the Fermi level: 0.67 states/eV per atom.

***

[13]
VASP calculation (GGA-PBE) on Zn2WAu after structural relaxation.

POSCAR file:
```
Zn2WAu
1.0
6.343 0.221 0.738
-2.772 4.170 -0.327
0.799 0.726 2.428
Au W Zn
1 1 2
direct
0.000 0.500 0.500
0.500 0.500 0.000
0.000 0.000 0.000
0.500 0.000 0.500
```

Output
As for the spin magnetization: 0.00 μB/f.u. The formation energy is 20 kJ/mol of atoms. As for the total DFT energy (no corrections): -4.49 eV per atom. The value obtained for the offset from the most stable computed form is 0.50 eV per formula unit. As for the density of states at the Fermi level: 0.48 states/eV per atom.

***

[14]
VASP calculation (GGA-PBE) on Zn2WAu after structural relaxation.

POSCAR file:
```
Zn2WAu
1.0
0.000 3.145 3.145
3.145 0.000 3.145
3.145 3.145 0.000
Zn Au W
2 1 1
direct
0.250 0.250 0.250
0.750 0.750 0.750
0.500 0.500 0.500
0.000 0.000 0.000
```

Output
As for the spin magnetization: 1.21 μB/f.u. The formation energy is 44 kJ/mol of atoms. As for the total DFT energy (no corrections): -4.24 eV per atom. The value obtained for the offset from the most stable computed form is 1.49 eV per formula unit. As for the density of states at the Fermi level: 0.55 states/eV per atom.

***

[15]
VASP calculation (GGA-PBE) on ZnW2Au after structural relaxation.

POSCAR file:
```
ZnW2Au
1.0
-0.695 -0.905 -2.471
0.846 -3.870 1.179
-5.440 -0.651 1.768
Au W Zn
1 2 1
direct
0.500 0.500 0.736
0.000 0.000 0.017
0.500 0.500 0.246
0.000 0.000 0.501
```

Output
As for the spin magnetization: 0.00 μB/f.u. The formation energy is 30 kJ/mol of atoms. As for the total DFT energy (no corrections): -7.31 eV per atom. As for the density of states at the Fermi level: 0.62 states/eV per atom.